Record 1
{
  "formula": "USnGe",
  "functional": "PBE",
  "state": "relaxed",
  "lattice": [[2.202, -7.727, 0.000], [2.202, 7.727, 0.000], [0.000, 0.000, 4.053]],
  "species": ["U", "U", "Sn", "Sn", "Ge", "Ge"],
  "frac_coords": [[0.087, 0.913, 0.750], [0.913, 0.087, 0.250], [0.254, 0.746, 0.250], [0.746, 0.254, 0.750], [0.439, 0.561, 0.750], [0.561, 0.439, 0.250]],
  "polymorph_energy_mev_per_atom": 0.0,
  "spacegroup": "Cmcm",
  "dos_ef_per_ev_fu": 6.01,
  "formation_enthalpy_0k_ev_per_atom": -0.1558,
  "m_tot_mub_per_cell": 4.8
}

Record 2
{
  "formula": "U2SnGe",
  "functional": "PBE",
  "state": "relaxed",
  "lattice": [[4.476, 0.000, 0.000], [0.000, 4.476, 0.000], [0.000, 0.000, 4.534]],
  "species": ["U", "U", "Sn", "Ge"],
  "frac_coords": [[0.000, 0.500, 0.000], [0.500, 0.000, 0.000], [0.000, 0.000, 0.500], [0.500, 0.500, 0.500]],
  "spacegroup": "P4/mmm",
  "dos_ef_per_ev_fu": 10.30,
  "formation_enthalpy_0k_ev_per_atom": 0.0161,
  "m_tot_mub_per_cell": 5.4
}

Record 3
{
  "formula": "U2SnGe",
  "functional": "PBE",
  "state": "relaxed",
  "lattice": [[1.541, 0.890, 10.723], [-1.541, 0.890, 10.723], [0.000, -1.779, 10.723]],
  "species": ["U", "U", "Sn", "Ge"],
  "frac_coords": [[0.246, 0.246, 0.246], [0.754, 0.754, 0.754], [0.000, 0.000, 0.000], [0.500, 0.500, 0.500]],
  "spacegroup": "R-3m",
  "dos_ef_per_ev_fu": 9.41,
  "formation_enthalpy_0k_ev_per_atom": 0.0321,
  "m_tot_mub_per_cell": 4.1
}

Record 4
{
  "formula": "U2SnGe",
  "functional": "PBE",
  "state": "relaxed",
  "lattice": [[3.336, 0.000, 0.000], [0.000, 3.336, 0.000], [0.000, 0.000, 8.403]],
  "species": ["U", "U", "Sn", "Ge"],
  "frac_coords": [[0.000, 0.000, 0.222], [0.000, 0.000, 0.778], [0.500, 0.500, 0.500], [0.500, 0.500, 0.000]],
  "spacegroup": "P4/mmm",
  "dos_ef_per_ev_fu": 11.63,
  "formation_enthalpy_0k_ev_per_atom": -0.0456,
  "m_tot_mub_per_cell": 5.7
}

Record 5
{
  "formula": "USnGe",
  "functional": "PBE",
  "state": "relaxed",
  "lattice": [[3.127, 0.000, 0.000], [-1.564, 2.708, 0.000], [0.000, 0.000, 7.711]],
  "species": ["U", "Sn", "Ge"],
  "frac_coords": [[0.000, 0.000, 0.000], [0.333, 0.667, 0.644], [0.667, 0.333, 0.320]],
  "polymorph_energy_mev_per_atom": 282.0,
  "spacegroup": "P3m1",
  "dos_ef_per_ev_fu": 4.67,
  "formation_enthalpy_0k_ev_per_atom": 0.1261,
  "m_tot_mub_per_cell": 1.3
}

Record 6
{
  "formula": "VSnGe3",
  "functional": "PBE",
  "state": "relaxed",
  "lattice": [[4.810, 0.000, 0.000], [0.000, 4.810, 0.000], [0.000, 0.000, 4.810]],
  "species": ["V", "Sn", "Ge", "Ge", "Ge"],
  "frac_coords": [[0.000, 0.000, 0.000], [0.500, 0.500, 0.500], [0.000, 0.000, 0.500], [0.000, 0.500, 0.000], [0.500, 0.000, 0.000]],
  "polymorph_energy_mev_per_atom": 0.0,
  "spacegroup": "Pm-3m",
  "dos_ef_per_ev_fu": 4.42,
  "formation_enthalpy_0k_ev_per_atom": 0.2861,
  "m_tot_mub_per_cell": 0.0
}

Record 7
{
  "formula": "V2SnGe2",
  "functional": "PBE",
  "state": "relaxed",
  "lattice": [[6.988, 0.000, 0.000], [0.000, 6.988, 0.000], [0.000, 0.000, 3.410]],
  "species": ["V", "V", "V", "V", "Sn", "Sn", "Ge", "Ge", "Ge", "Ge"],
  "frac_coords": [[0.142, 0.358, 0.000], [0.358, 0.858, 0.000], [0.642, 0.142, 0.000], [0.858, 0.642, 0.000], [0.000, 0.000, 0.000], [0.500, 0.500, 0.000], [0.147, 0.647, 0.500], [0.353, 0.147, 0.500], [0.647, 0.853, 0.500], [0.853, 0.353, 0.500]],
  "polymorph_energy_mev_per_atom": 0.0,
  "spacegroup": "P4/mbm",
  "dos_ef_per_ev_fu": 3.12,
  "formation_enthalpy_0k_ev_per_atom": 0.0214,
  "m_tot_mub_per_cell": 0.0
}

Record 8
{
  "formula": "VSn2Ge2",
  "functional": "PBE",
  "state": "relaxed",
  "lattice": [[6.761, 0.000, 0.000], [0.000, 6.761, 0.000], [0.000, 0.000, 4.703]],
  "species": ["V", "V", "Sn", "Sn", "Sn", "Sn", "Ge", "Ge", "Ge", "Ge"],
  "frac_coords": [[0.000, 0.000, 0.000], [0.500, 0.500, 0.000], [0.181, 0.319, 0.500], [0.319, 0.819, 0.500], [0.681, 0.181, 0.500], [0.819, 0.681, 0.500], [0.136, 0.636, 0.000], [0.364, 0.136, 0.000], [0.636, 0.864, 0.000], [0.864, 0.364, 0.000]],
  "spacegroup": "P4/mbm",
  "dos_ef_per_ev_fu": 4.50,
  "formation_enthalpy_0k_ev_per_atom": 0.2380,
  "m_tot_mub_per_cell": 5.2
}

Record 9
{
  "formula": "VSnGe",
  "functional": "PBE",
  "state": "relaxed",
  "lattice": [[8.653, 0.000, 0.000], [0.000, 4.344, 0.000], [0.000, 0.000, 6.228]],
  "species": ["V", "V", "V", "V", "Sn", "Sn", "Sn", "Sn", "Ge", "Ge", "Ge", "Ge"],
  "frac_coords": [[0.081, 0.250, 0.016], [0.419, 0.750, 0.516], [0.581, 0.250, 0.484], [0.919, 0.750, 0.984], [0.123, 0.750, 0.317], [0.377, 0.250, 0.817], [0.623, 0.750, 0.183], [0.877, 0.250, 0.683], [0.164, 0.750, 0.763], [0.336, 0.250, 0.263], [0.664, 0.750, 0.737], [0.836, 0.250, 0.237]],
  "polymorph_energy_mev_per_atom": 0.0,
  "spacegroup": "Pnma",
  "dos_ef_per_ev_fu": 2.03,
  "formation_enthalpy_0k_ev_per_atom": 0.0163,
  "m_tot_mub_per_cell": 0.0
}

Record 10
{
  "formula": "V2SnGe2",
  "functional": "PBE",
  "state": "relaxed",
  "lattice": [[-2.068, 2.068, 5.325], [2.068, -2.068, 5.325], [2.068, 2.068, -5.325]],
  "species": ["V", "V", "Sn", "Ge", "Ge"],
  "frac_coords": [[0.250, 0.750, 0.500], [0.750, 0.250, 0.500], [0.000, 0.000, 0.000], [0.384, 0.384, 0.000], [0.616, 0.616, 0.000]],
  "polymorph_energy_mev_per_atom": 174.6,
  "spacegroup": "I4/mmm",
  "dos_ef_per_ev_fu": 5.11,
  "formation_enthalpy_0k_ev_per_atom": 0.1960,
  "m_tot_mub_per_cell": 0.0
}

Record 11
{
  "formula": "V2SnGe",
  "functional": "PBE",
  "state": "relaxed",
  "lattice": [[-1.962, 1.962, 9.338], [1.962, -1.962, 9.338], [1.962, 1.962, -9.338]],
  "species": ["V", "V", "V", "V", "Sn", "Sn", "Ge", "Ge"],
  "frac_coords": [[0.075, 0.625, 0.950], [0.375, 0.325, 0.450], [0.675, 0.125, 0.050], [0.875, 0.925, 0.550], [0.250, 0.750, 0.500], [0.500, 0.500, 0.000], [0.000, 0.000, 0.000], [0.750, 0.250, 0.500]],
  "spacegroup": "I-42d",
  "dos_ef_per_ev_fu": 5.55,
  "formation_enthalpy_0k_ev_per_atom": 0.4318,
  "m_tot_mub_per_cell": 0.0
}

Record 12
{
  "formula": "V4SnGe",
  "functional": "PBE",
  "state": "relaxed",
  "lattice": [[2.231, -8.703, 0.000], [2.231, 8.703, 0.000], [0.000, 0.000, 5.254]],
  "species": ["V", "V", "V", "V", "V", "V", "V", "V", "Sn", "Sn", "Ge", "Ge"],
  "frac_coords": [[0.064, 0.936, 0.500], [0.202, 0.798, 0.292], [0.215, 0.785, 0.821], [0.358, 0.642, 0.603], [0.642, 0.358, 0.103], [0.785, 0.215, 0.321], [0.798, 0.202, 0.792], [0.936, 0.064, 0.000], [0.353, 0.647, 0.097], [0.647, 0.353, 0.597], [0.077, 0.923, 0.011], [0.923, 0.077, 0.511]],
  "spacegroup": "Cmc2_1",
  "dos_ef_per_ev_fu": 6.11,
  "formation_enthalpy_0k_ev_per_atom": 0.1352,
  "m_tot_mub_per_cell": 1.3
}

Record 13
{
  "formula": "VSnGe",
  "functional": "PBE",
  "state": "relaxed",
  "lattice": [[4.257, 0.000, 0.000], [-2.129, 3.687, 0.000], [0.000, 0.000, 3.655]],
  "species": ["V", "Sn", "Ge"],
  "frac_coords": [[0.000, 0.000, 0.000], [0.333, 0.667, 0.500], [0.667, 0.333, 0.000]],
  "polymorph_energy_mev_per_atom": 265.4,
  "spacegroup": "P-6m2",
  "dos_ef_per_ev_fu": 3.62,
  "formation_enthalpy_0k_ev_per_atom": 0.2817,
  "m_tot_mub_per_cell": 0.2
}

Record 14
{
  "formula": "V2SnGe2",
  "functional": "PBE",
  "state": "relaxed",
  "lattice": [[7.929, 0.000, 0.000], [0.000, 7.929, 0.000], [0.000, 0.000, 2.746]],
  "species": ["V", "V", "V", "V", "Sn", "Sn", "Ge", "Ge", "Ge", "Ge"],
  "frac_coords": [[0.113, 0.387, 0.000], [0.387, 0.887, 0.000], [0.613, 0.113, 0.000], [0.887, 0.613, 0.000], [0.000, 0.000, 0.500], [0.500, 0.500, 0.500], [0.172, 0.672, 0.500], [0.328, 0.172, 0.500], [0.672, 0.828, 0.500], [0.828, 0.328, 0.500]],
  "polymorph_energy_mev_per_atom": 123.3,
  "spacegroup": "P4/mbm",
  "dos_ef_per_ev_fu": 4.18,
  "formation_enthalpy_0k_ev_per_atom": 0.1447,
  "m_tot_mub_per_cell": 0.0
}

Record 15
{
  "formula": "V12SnGe3",
  "functional": "PBE",
  "state": "relaxed",
  "lattice": [[4.803, 0.000, 0.000], [0.000, 4.832, 0.000], [0.000, 0.000, 9.599]],
  "species": ["V", "V", "V", "V", "V", "V", "V", "V", "V", "V", "V", "V", "Sn", "Ge", "Ge", "Ge"],
  "frac_coords": [[0.000, 0.000, 0.125], [0.000, 0.000, 0.366], [0.000, 0.000, 0.634], [0.000, 0.000, 0.875], [0.237, 0.500, 0.500], [0.255, 0.500, 0.000], [0.500, 0.256, 0.241], [0.500, 0.256, 0.759], [0.500, 0.744, 0.241], [0.500, 0.744, 0.759], [0.745, 0.500, 0.000], [0.763, 0.500, 0.500], [0.500, 0.000, 0.500], [0.000, 0.500, 0.249], [0.000, 0.500, 0.751], [0.500, 0.000, 0.000]],
  "spacegroup": "Pmmm",
  "dos_ef_per_ev_fu": 28.33,
  "formation_enthalpy_0k_ev_per_atom": -0.2592,
  "m_tot_mub_per_cell": 0.0
}

Record 16
{
  "formula": "SnGeW3",
  "functional": "PBE",
  "state": "relaxed",
  "lattice": [[4.642, 0.000, 0.000], [0.000, 4.642, 0.000], [0.000, 0.000, 4.642]],
  "species": ["Sn", "Ge", "W", "W", "W"],
  "frac_coords": [[0.000, 0.000, 0.000], [0.500, 0.500, 0.500], [0.000, 0.500, 0.500], [0.500, 0.000, 0.500], [0.500, 0.500, 0.000]],
  "polymorph_energy_mev_per_atom": 0.0,
  "spacegroup": "Pm-3m",
  "dos_ef_per_ev_fu": 5.28,
  "formation_enthalpy_0k_ev_per_atom": 1.6015,
  "m_tot_mub_per_cell": 0.0
}

Record 17
{
  "formula": "SnGeW3",
  "functional": "PBE",
  "state": "relaxed",
  "lattice": [[4.915, 0.000, 0.000], [0.000, 4.915, 0.000], [0.000, 0.000, 4.915]],
  "species": ["Sn", "Ge", "W", "W", "W"],
  "frac_coords": [[0.000, 0.000, 0.000], [0.500, 0.500, 0.500], [0.000, 0.000, 0.500], [0.000, 0.500, 0.000], [0.500, 0.000, 0.000]],
  "polymorph_energy_mev_per_atom": 1217.1,
  "spacegroup": "Pm-3m",
  "dos_ef_per_ev_fu": 6.62,
  "formation_enthalpy_0k_ev_per_atom": 2.8186,
  "m_tot_mub_per_cell": 0.0
}

Record 18
{
  "formula": "SnGe3W",
  "functional": "PBE",
  "state": "relaxed",
  "lattice": [[4.953, 0.000, 0.000], [0.000, 4.953, 0.000], [0.000, 0.000, 4.953]],
  "species": ["Sn", "Ge", "Ge", "Ge", "W"],
  "frac_coords": [[0.000, 0.000, 0.000], [0.000, 0.500, 0.500], [0.500, 0.000, 0.500], [0.500, 0.500, 0.000], [0.500, 0.500, 0.500]],
  "polymorph_energy_mev_per_atom": 0.0,
  "spacegroup": "Pm-3m",
  "dos_ef_per_ev_fu": 3.11,
  "formation_enthalpy_0k_ev_per_atom": 0.4983,
  "m_tot_mub_per_cell": 0.0
}

Record 19
{
  "formula": "Y5Sn2Ge2",
  "functional": "PBE",
  "state": "relaxed",
  "lattice": [[7.637, -3.977, 0.000], [7.637, 3.977, 0.000], [0.000, 0.000, 7.917]],
  "species": ["Y", "Y", "Y", "Y", "Y", "Y", "Y", "Y", "Y", "Y", "Sn", "Sn", "Sn", "Sn", "Ge", "Ge", "Ge", "Ge"],
  "frac_coords": [[0.000, 0.000, 0.000], [0.040, 0.702, 0.668], [0.202, 0.540, 0.168], [0.298, 0.960, 0.668], [0.460, 0.798, 0.168], [0.500, 0.500, 0.500], [0.540, 0.202, 0.832], [0.702, 0.040, 0.332], [0.798, 0.460, 0.832], [0.960, 0.298, 0.332], [0.209, 0.209, 0.000], [0.291, 0.291, 0.500], [0.709, 0.709, 0.500], [0.791, 0.791, 0.000], [0.135, 0.865, 0.364], [0.365, 0.635, 0.864], [0.635, 0.365, 0.136], [0.865, 0.135, 0.636]],
  "spacegroup": "Cmce",
  "dos_ef_per_ev_fu": 4.81,
  "formation_enthalpy_0k_ev_per_atom": -0.8265,
  "m_tot_mub_per_cell": 0.0
}

Record 20
{
  "formula": "YSnGe2",
  "functional": "PBE",
  "state": "relaxed",
  "lattice": [[-3.921, 3.921, 3.130], [3.921, -3.921, 3.130], [3.921, 3.921, -3.130]],
  "species": ["Y", "Y", "Sn", "Sn", "Ge", "Ge", "Ge", "Ge"],
  "frac_coords": [[0.000, 0.000, 0.000], [0.750, 0.250, 0.500], [0.250, 0.750, 0.500], [0.500, 0.500, 0.000], [0.142, 0.625, 0.017], [0.375, 0.392, 0.517], [0.608, 0.125, 0.983], [0.875, 0.858, 0.483]],
  "spacegroup": "I-42d",
  "dos_ef_per_ev_fu": 2.92,
  "formation_enthalpy_0k_ev_per_atom": -0.1874,
  "m_tot_mub_per_cell": 0.0
}